*P*
A plane-wave DFT calculation with PBE-GGA was carried out for BaAl2Cl8 after structural relaxation.

abc: 7.535 7.617 7.617
angles: 59.30 75.62 75.62
Sites, in units of the cell vectors:
1 Cl 0.388 0.827 0.827
2 Cl 0.772 0.102 0.649
3 Cl 0.189 0.368 0.368
4 Cl 0.228 0.351 0.898
5 Cl 0.228 0.898 0.351
6 Cl 0.811 0.632 0.632
7 Cl 0.612 0.173 0.173
8 Cl 0.772 0.649 0.102
9 Ba 0.000 0.000 0.000
10 Al 0.687 0.799 0.799
11 Al 0.313 0.201 0.201

Calculated values
calculated density = 2.2 Mg/m³



*Q*
A plane-wave DFT calculation with PBE-GGA was carried out for BaAl2Cl8 after structural relaxation.

abc: 7.217 8.395 12.832
angles: 80.05 90.00 90.00
Sites, in units of the cell vectors:
1 Ba 0.151 0.500 0.250
2 Ba 0.849 0.500 0.750
3 Cl 0.462 0.742 0.125
4 Cl 0.799 0.438 0.105
5 Cl 0.201 0.438 0.605
6 Cl 0.281 0.239 0.108
7 Cl 0.719 0.761 0.892
8 Cl 0.945 0.178 0.371
9 Cl 0.538 0.742 0.625
10 Cl 0.055 0.822 0.629
11 Cl 0.055 0.178 0.871
12 Cl 0.945 0.822 0.129
13 Cl 0.799 0.562 0.395
14 Cl 0.462 0.258 0.375
15 Cl 0.719 0.239 0.608
16 Cl 0.538 0.258 0.875
17 Cl 0.281 0.761 0.392
18 Cl 0.201 0.562 0.895
19 Al 0.271 0.691 0.563
20 Al 0.729 0.691 0.063
21 Al 0.271 0.309 0.937
22 Al 0.729 0.309 0.437

Calculated values
calculated density = 2.1 Mg/m³



Which one sits at the top of the stability order? *Q* does.



*P*
A plane-wave DFT calculation with PBE-GGA was carried out for BaAlP2Cl after structural relaxation.

abc: 4.646 4.646 5.612
angles: 90.00 90.00 90.00
Sites, in units of the cell vectors:
1 Al 0.000 0.000 0.000
2 P 0.500 0.000 0.000
3 P 0.000 0.500 0.000
4 Cl 0.000 0.000 0.500
5 Ba 0.500 0.500 0.500

Calculated values
calculated density = 3.6 Mg/m³



*Q*
A plane-wave DFT calculation with PBE-GGA was carried out for BaAlP2Cl after structural relaxation.

abc: 5.474 14.560 5.474
angles: 90.00 90.00 90.00
Last column: magnetic moment on the atom in μB.
Sites, in units of the cell vectors:
1 Cl 0.500 0.500 0.500  0.00
2 P 0.000 0.000 0.500  0.29
3 P 0.500 0.000 0.000  0.10
4 Al 0.000 0.500 0.000  0.00
5 Ba 0.000 0.000 0.000  0.00

Calculated values
calculated density = 1.0 Mg/m³



*R*
A plane-wave DFT calculation with PBE-GGA was carried out for BaAlP2Cl after structural relaxation.

abc: 6.275 6.275 5.863
angles: 90.00 90.00 90.00
Last column: magnetic moment on the atom in μB.
Sites, in units of the cell vectors:
1 Ba 0.000 0.000 0.000  0.06
2 P 0.500 0.000 0.000  0.79
3 P 0.000 0.500 0.000  0.79
4 Cl 0.000 0.000 0.500  0.05
5 Al 0.500 0.500 0.500  0.01

Calculated values
calculated density = 1.9 Mg/m³



Which one sits at the top of the stability order? *P* does.